[1]
A plane-wave DFT calculation with GGA-PBE was carried out for a geometry-optimized LaHgPO structure.

For the calculated total energy, the calculation gives -5.22 eV/atom. Its calculated volume is 23.033 Å³/atom. For the total magnetization, the calculation gives 0.0 μB/f.u.

Cell: 4.309 6.090 7.023 Å, 90.00 90.00 90.00°
Space group Pmc2_1 (No. 26)
One atom of each set of equivalent atoms:
La1 0.000 0.067 0.000 (multiplicity 2)
Hg1 0.500 0.443 0.423 (multiplicity 2)
P1 0.500 0.225 0.721 (multiplicity 2)
O1 0.000 0.212 0.290 (multiplicity 2)



[2]
A plane-wave DFT calculation with GGA-PBE was carried out for a geometry-optimized LaHgSO structure.

For the calculated total energy, the calculation gives -5.29 eV/atom. Its calculated volume is 22.664 Å³/atom. For the total magnetization, the calculation gives 0.0 μB/f.u.

Cell: 6.990 7.138 7.281 Å, 90.00 93.47 90.00°
Space group P2_1/c (No. 14)
One atom of each set of equivalent atoms:
La1 0.083 0.132 0.207 (multiplicity 4)
Hg1 0.472 0.698 0.507 (multiplicity 4)
S1 0.277 0.018 0.581 (multiplicity 4)
O1 0.039 0.663 0.598 (multiplicity 4)



[3]
A plane-wave DFT calculation with GGA-PBE was carried out for a geometry-optimized LaHgSO structure.

For the calculated total energy, the calculation gives -5.25 eV/atom. Its calculated volume is 28.657 Å³/atom. For the total magnetization, the calculation gives 0.0 μB/f.u.

Cell: 5.062 8.945 5.063 Å, 90.00 90.00 90.00°
Space group Pmc2_1 (No. 26)
One atom of each set of equivalent atoms:
La1 0.000 0.148 0.000 (multiplicity 2)
Hg1 0.500 0.319 0.546 (multiplicity 2)
S1 0.500 0.309 0.048 (multiplicity 2)
O1 0.000 0.092 0.547 (multiplicity 2)



[4]
A plane-wave DFT calculation with GGA-PBE was carried out for a geometry-optimized LaHgSO structure.

For the calculated total energy, the calculation gives -5.46 eV/atom. Its calculated volume is 24.706 Å³/atom. For the total magnetization, the calculation gives 0.0 μB/f.u.

Cell: 5.883 5.903 11.389 Å, 90.00 91.53 90.00°
Space group P2_1 (No. 4)
One atom of each set of equivalent atoms:
La1 0.004 0.000 0.104 (multiplicity 2)
La2 0.495 0.001 0.894 (multiplicity 2)
Hg1 0.180 0.767 0.498 (multiplicity 2)
Hg2 0.497 0.516 0.672 (multiplicity 2)
S1 0.214 0.297 0.291 (multiplicity 2)
S2 0.216 0.233 0.706 (multiplicity 2)
O1 0.250 0.749 0.000 (multiplicity 2)
O2 0.253 0.249 0.000 (multiplicity 2)



[5]
A plane-wave DFT calculation with GGA-PBE was carried out for a geometry-optimized LaHgSO structure.

For the calculated total energy, the calculation gives -5.01 eV/atom. Its calculated volume is 24.930 Å³/atom. For the total magnetization, the calculation gives 0.0 μB/f.u.

Cell: 7.720 9.171 5.634 Å, 90.00 90.00 90.00°
Space group Pca2_1 (No. 29)
One atom of each set of equivalent atoms:
La1 0.046 0.184 0.000 (multiplicity 4)
Hg1 0.153 0.612 0.953 (multiplicity 4)
S1 0.088 0.123 0.502 (multiplicity 4)
O1 0.019 0.408 0.077 (multiplicity 4)



[6]
A plane-wave DFT calculation with GGA-PBE was carried out for a geometry-optimized LaHg2SO6 structure.

For the calculated total energy, the calculation gives -5.47 eV/atom. Its calculated volume is 16.413 Å³/atom. For the total magnetization, the calculation gives 0.0 μB/f.u.

Cell: 7.117 7.428 7.463 Å, 77.94 64.09 67.88°
Space group P-1 (No. 2)
One atom of each set of equivalent atoms:
La1 0.182 0.273 0.340 (multiplicity 2)
Hg1 0.138 0.274 0.852 (multiplicity 2)
Hg2 0.401 0.664 0.106 (multiplicity 2)
S1 0.301 0.798 0.631 (multiplicity 2)
O1 0.047 0.632 0.319 (multiplicity 2)
O2 0.178 0.660 0.674 (multiplicity 2)
O3 0.221 0.905 0.809 (multiplicity 2)
O4 0.267 0.932 0.459 (multiplicity 2)
O5 0.320 0.194 0.017 (multiplicity 2)
O6 0.459 0.312 0.432 (multiplicity 2)



[7]
A plane-wave DFT calculation with GGA-PBE was carried out for a geometry-optimized LaHgSO structure.

For the calculated total energy, the calculation gives -5.38 eV/atom. Its calculated volume is 20.900 Å³/atom. For the total magnetization, the calculation gives 0.3 μB/f.u.

Cell: 4.094 4.094 9.978 Å, 90.00 90.00 90.00°
Space group P4/nmm (No. 129, origin choice 2)
One atom of each set of equivalent atoms:
La1 0.250 0.250 0.122 (multiplicity 2)
Hg1 0.250 0.750 0.500 (multiplicity 2)
S1 0.250 0.250 0.728 (multiplicity 2)
O1 0.250 0.750 0.000 (multiplicity 2)



[8]
A plane-wave DFT calculation with GGA-PBE was carried out for a geometry-optimized LaHgSeO structure.

For the calculated total energy, the calculation gives -5.23 eV/atom. Its calculated volume is 22.164 Å³/atom. For the total magnetization, the calculation gives 0.3 μB/f.u.

Cell: 4.192 4.192 10.091 Å, 90.00 90.00 90.00°
Space group P4/nmm (No. 129, origin choice 2)
One atom of each set of equivalent atoms:
La1 0.250 0.250 0.115 (multiplicity 2)
Hg1 0.250 0.750 0.500 (multiplicity 2)
Se1 0.250 0.250 0.731 (multiplicity 2)
O1 0.250 0.750 0.000 (multiplicity 2)



[9]
A plane-wave DFT calculation with GGA-PBE was carried out for a geometry-optimized LaHgSeO structure.

For the calculated total energy, the calculation gives -5.08 eV/atom. Its calculated volume is 31.858 Å³/atom. For the total magnetization, the calculation gives 0.0 μB/f.u.

Cell: 5.201 9.112 5.378 Å, 90.00 90.00 90.00°
Space group Pmc2_1 (No. 26)
One atom of each set of equivalent atoms:
La1 0.000 0.145 0.000 (multiplicity 2)
Hg1 0.500 0.319 0.584 (multiplicity 2)
Se1 0.500 0.312 0.088 (multiplicity 2)
O1 0.000 0.084 0.602 (multiplicity 2)



[10]
A plane-wave DFT calculation with GGA-PBE was carried out for a geometry-optimized LaHgSeO structure.

For the calculated total energy, the calculation gives -5.18 eV/atom. Its calculated volume is 24.387 Å³/atom. For the total magnetization, the calculation gives 0.0 μB/f.u.

Cell: 8.008 6.902 7.059 Å, 90.00 90.35 90.00°
Space group P2_1/c (No. 14)
One atom of each set of equivalent atoms:
La1 0.104 0.102 0.294 (multiplicity 4)
Hg1 0.491 0.699 0.002 (multiplicity 4)
Se1 0.285 0.006 0.908 (multiplicity 4)
O1 0.003 0.681 0.912 (multiplicity 4)



[11]
A plane-wave DFT calculation with GGA-PBE was carried out for a geometry-optimized La2Hg2Se2O3 structure.

For the calculated total energy, the calculation gives -5.27 eV/atom. Its calculated volume is 19.773 Å³/atom. For the total magnetization, the calculation gives 0.0 μB/f.u.

Cell: 4.424 4.424 18.188 Å, 90.00 90.00 90.00°
Space group I4/mmm (No. 139)
One atom of each set of equivalent atoms:
La1 0.000 0.000 0.193 (multiplicity 4)
Hg1 0.000 0.500 0.000 (multiplicity 4)
Se1 0.000 0.000 0.389 (multiplicity 4)
O1 0.000 0.000 0.000 (multiplicity 2)
O2 0.000 0.500 0.250 (multiplicity 4)



[12]
A plane-wave DFT calculation with GGA-PBE was carried out for a geometry-optimized LaHgSeO structure.

For the calculated total energy, the calculation gives -5.39 eV/atom. Its calculated volume is 23.749 Å³/atom. For the total magnetization, the calculation gives 0.0 μB/f.u.

Cell: 5.780 5.765 11.647 Å, 90.00 101.74 90.00°
Space group P2_1 (No. 4)
One atom of each set of equivalent atoms:
La1 0.046 0.000 0.106 (multiplicity 2)
La2 0.453 0.001 0.892 (multiplicity 2)
Hg1 0.113 0.119 0.582 (multiplicity 2)
Hg2 0.357 0.105 0.412 (multiplicity 2)
Se1 0.107 0.508 0.255 (multiplicity 2)
Se2 0.392 0.505 0.741 (multiplicity 2)
O1 0.250 0.751 0.000 (multiplicity 2)
O2 0.251 0.253 0.000 (multiplicity 2)



What is the calculated total energy in the fourth record?
-5.46 eV/atom



What is the formula in the fifth record?
LaHgSO